MnReRh2, optimized geometry, DFT GGA-PBEsol; SG = Pmm2 (25)
1.0
2.654 0.000 0.000
0.000 4.201 0.000
0.000 0.000 4.659
Mn Re Rh
1 1 2
direct
0.500 0.000 0.538
0.500 0.500 0.220
0.000 0.000 0.040
0.000 0.500 0.702

=====

Cr2NiHgMo, optimized geometry, DFT GGA-PBEsol; SG = P4/mmm (123)
1.0
-2.207 -3.817 0.899
3.056 -1.027 3.145
-2.463 2.153 3.096
Ni Mo Hg Cr
1 1 1 2
direct
0.500 0.000 0.000
0.000 0.000 0.000
0.500 0.500 0.500
0.000 0.000 0.500
0.000 0.500 0.000

=====

| no. | D(E_F) (states/eV per atom) | energy relative to the elements (meV/atom) |
| --- | --- | --- |
| 1 | 0.777 | -100 |
| 2 | 0.707 | 1405 |